Record 1
A plane-wave DFT calculation with GGA-PBE was carried out for a relaxed ScTa2Rh crystal.

a = 2.983 Å, b = 2.983 Å, c = 8.162 Å
α = 90.00°, β = 90.00°, γ = 90.05°
Sites, in units of the cell vectors:
Ta1 0.000 0.000 0.473
Ta2 0.000 0.000 0.027
Sc1 0.500 0.500 0.750
Rh1 0.500 0.500 0.250

Volume = 18.16 Å³ per atom
Total energy = -9.45 eV/atom
Calculated formation energy = -0.104 eV per atom

***

Record 2
A plane-wave DFT calculation with GGA-PBE was carried out for a relaxed Er6ZnFe2 crystal.

a = 8.224 Å, b = 8.224 Å, c = 8.224 Å
α = 106.51°, β = 110.93°, γ = 111.01°
Sites, in units of the cell vectors:
Er1 0.297 0.612 0.315
Fe1 0.620 0.000 0.620
Er2 0.204 0.230 0.434
Er3 0.204 0.770 0.973
Zn1 0.000 0.000 0.000
Er4 0.796 0.230 0.027
Er5 0.703 0.388 0.685
Er6 0.470 0.284 0.185
Er7 0.297 0.982 0.685
Fe2 0.380 0.000 0.380
Er8 0.901 0.716 0.185
Er9 0.099 0.284 0.815
Er10 0.703 0.018 0.315
Er11 0.796 0.770 0.566
Fe3 0.500 0.390 0.890
Zn2 0.000 0.500 0.500
Er12 0.530 0.716 0.815
Fe4 0.500 0.610 0.110

Volume = 23.74 Å³ per atom
Total energy = -5.18 eV/atom
Calculated formation energy = -0.113 eV per atom

***

Record 3
A plane-wave DFT calculation with GGA-PBE was carried out for a relaxed CaTl3Rh crystal.

a = 6.390 Å, b = 8.563 Å, c = 9.437 Å
α = 90.00°, β = 90.00°, γ = 90.00°
Sites, in units of the cell vectors:
Ca1 0.771 0.394 0.250
Rh1 0.500 0.000 0.000
Tl1 0.362 0.309 0.948
Rh2 0.000 0.500 0.000
Rh3 0.000 0.500 0.500
Ca2 0.271 0.106 0.250
Tl2 0.234 0.000 0.750
Tl3 0.362 0.309 0.552
Tl4 0.766 0.000 0.250
Ca3 0.229 0.606 0.750
Tl5 0.734 0.500 0.750
Ca4 0.729 0.894 0.750
Tl6 0.862 0.191 0.948
Tl7 0.638 0.691 0.448
Tl8 0.138 0.809 0.052
Tl9 0.266 0.500 0.250
Tl10 0.138 0.809 0.448
Tl11 0.862 0.191 0.552
Rh4 0.500 0.000 0.500
Tl12 0.638 0.691 0.052

Volume = 25.82 Å³ per atom
Total energy = -3.45 eV/atom
Calculated formation energy = -0.164 eV per atom

***

Record 4
A plane-wave DFT calculation with GGA-PBE was carried out for a relaxed Cs3InGa2O6 crystal.

a = 6.138 Å, b = 6.138 Å, c = 7.740 Å
α = 90.00°, β = 90.00°, γ = 120.00°
Sites, in units of the cell vectors:
Cs1 0.667 0.333 0.228
Ga1 0.667 0.333 0.661
O1 0.670 0.835 0.321
In1 0.000 0.000 0.500
Cs2 0.333 0.667 0.772
Cs3 0.000 0.000 0.000
O2 0.835 0.670 0.679
Ga2 0.333 0.667 0.339
O3 0.835 0.165 0.679
O4 0.165 0.330 0.321
O5 0.165 0.835 0.321
O6 0.330 0.165 0.679

Volume = 21.05 Å³ per atom
Total energy = -4.94 eV/atom

***

Record 5
A plane-wave DFT calculation with GGA-PBE was carried out for a relaxed CaSCl crystal.

a = 4.002 Å, b = 13.269 Å, c = 6.824 Å
α = 90.00°, β = 125.88°, γ = 90.00°
Sites, in units of the cell vectors:
S1 0.797 0.500 0.807
S2 0.203 0.500 0.193
Cl1 0.000 0.786 0.000
Ca1 0.500 0.139 0.500
Cl2 0.000 0.714 0.500
Cl3 0.000 0.214 0.000
Cl4 0.000 0.286 0.500
S3 0.797 0.000 0.307
Ca2 0.500 0.861 0.500
Ca3 0.500 0.639 0.000
S4 0.203 0.000 0.693
Ca4 0.500 0.361 0.000

Volume = 24.47 Å³ per atom
Total energy = -4.51 eV/atom

***

Record 6
A plane-wave DFT calculation with GGA-PBE was carried out for a relaxed RbZn2CdNi crystal.

a = 4.854 Å, b = 4.854 Å, c = 5.146 Å
α = 90.00°, β = 90.00°, γ = 90.00°
Sites, in units of the cell vectors:
Cd1 0.000 0.000 0.500
Zn1 0.500 0.000 0.000
Ni1 0.000 0.000 0.000
Zn2 0.000 0.500 0.000
Rb1 0.500 0.500 0.500

Volume = 24.26 Å³ per atom
Total energy = -2.01 eV/atom
Calculated formation energy = 0.033 eV per atom

***

Record 7
A plane-wave DFT calculation with GGA-PBE was carried out for a relaxed CePm2In9 crystal.

a = 4.700 Å, b = 4.700 Å, c = 14.112 Å
α = 90.00°, β = 90.00°, γ = 90.00°
Sites, in units of the cell vectors:
In1 0.000 0.500 0.834
Pm1 0.000 0.000 0.334
In2 0.500 0.000 0.500
Ce1 0.000 0.000 0.000
In3 0.000 0.500 0.166
Pm2 0.000 0.000 0.666
In4 0.500 0.000 0.834
In5 0.000 0.500 0.500
In6 0.500 0.000 0.166
In7 0.500 0.500 0.667
In8 0.500 0.500 0.333
In9 0.500 0.500 0.000

Volume = 25.98 Å³ per atom
Total energy = -3.79 eV/atom
Calculated formation energy = -0.453 eV per atom

***

Record 8
A plane-wave DFT calculation with GGA-PBE was carried out for a relaxed LaGdTe crystal.

a = 4.058 Å, b = 5.276 Å, c = 5.276 Å
α = 120.00°, β = 90.00°, γ = 90.00°
Sites, in units of the cell vectors:
Gd1 0.168 0.000 0.000
La1 0.668 0.667 0.333
Te1 0.165 0.333 0.667

Volume = 32.61 Å³ per atom
Total energy = -8.00 eV/atom

***

Record 9
A plane-wave DFT calculation with GGA-PBE was carried out for a relaxed NaCuSe3 crystal.

a = 5.094 Å, b = 5.094 Å, c = 5.094 Å
α = 90.00°, β = 90.00°, γ = 90.00°
Sites, in units of the cell vectors:
Se1 0.000 0.000 0.500
Cu1 0.500 0.500 0.500
Se2 0.000 0.500 0.000
Se3 0.500 0.000 0.000
Na1 0.000 0.000 0.000

Volume = 26.44 Å³ per atom
Total energy = -2.26 eV/atom

***

Record 10
A plane-wave DFT calculation with GGA-PBE was carried out for a relaxed Ta2CdAs crystal.

a = 5.560 Å, b = 5.560 Å, c = 5.560 Å
α = 145.81°, β = 129.66°, γ = 62.26°
Sites, in units of the cell vectors:
Cd1 0.261 0.761 0.500
Ta1 0.986 0.986 0.000
Ta2 0.734 0.234 0.500
As1 0.519 0.519 0.000

Volume = 18.39 Å³ per atom
Total energy = -7.11 eV/atom
Calculated formation energy = 0.206 eV per atom

***

Record 11
A plane-wave DFT calculation with GGA-PBE was carried out for a relaxed CuAg2HF6 crystal.

a = 6.081 Å, b = 4.842 Å, c = 9.579 Å
α = 90.00°, β = 89.13°, γ = 90.00°
Sites, in units of the cell vectors:
F1 0.871 0.295 0.361
Ag1 0.502 0.497 0.307
Cu1 0.500 0.000 0.000
F2 0.129 0.705 0.639
F3 0.629 0.795 0.139
F4 0.371 0.205 0.861
F5 0.866 0.292 0.638
H1 0.500 0.000 0.500
F6 0.134 0.708 0.362
F7 0.403 0.205 0.501
F8 0.097 0.705 0.999
H2 0.000 0.500 0.000
Ag2 0.002 0.003 0.807
F9 0.634 0.792 0.862
Ag3 0.498 0.503 0.693
Cu2 0.000 0.500 0.500
F10 0.903 0.295 0.001
F11 0.366 0.208 0.138
Ag4 0.998 0.997 0.193
F12 0.597 0.795 0.499

Volume = 14.10 Å³ per atom
Total energy = -3.77 eV/atom

***

Record 12
A plane-wave DFT calculation with GGA-PBE was carried out for a relaxed CsTiGe2 crystal.

a = 6.017 Å, b = 6.017 Å, c = 9.153 Å
α = 70.81°, β = 70.81°, γ = 90.00°
Sites, in units of the cell vectors:
Ge1 0.875 0.626 0.750
Cs1 0.750 0.250 0.500
Ti1 0.250 0.750 0.500
Ge2 0.374 0.625 0.250
Ge3 0.375 0.624 0.750
Cs2 0.000 0.000 0.000
Ti2 0.500 0.500 0.000
Ge4 0.376 0.125 0.250

Volume = 36.67 Å³ per atom
Total energy = -4.34 eV/atom
Calculated formation energy = 0.161 eV per atom

***

What did the eighth record say?
A plane-wave DFT calculation with GGA-PBE was carried out for a relaxed LaGdTe crystal.

a = 4.058 Å, b = 5.276 Å, c = 5.276 Å
α = 120.00°, β = 90.00°, γ = 90.00°
Sites, in units of the cell vectors:
Gd1 0.168 0.000 0.000
La1 0.668 0.667 0.333
Te1 0.165 0.333 0.667

Volume = 32.61 Å³ per atom
Total energy = -8.00 eV/atom

***

Q: The lowest volume belongs to which entry?
A: CuAg2HF6